1.
# CsNaGe2I8

A geometry-optimized CsNaGe2I8 structure (GGA-PBE, Alexandria).

The calculation puts the total magnetization at 0.00 Bohr magnetons per cell. For the energy relative to the elements, uncorrected, the calculation gives -7.04 eV per formula unit. The volume comes out at 46.81 Å³/atom.

The space group is P-3 (No. 147) and the conventional cell measures 7.6179, 7.6179 and 11.1773 Å, with angles of 90.00, 90.00 and 120.00 degrees. The asymmetric unit holds Cs at (0.0000, 0.0000, 0.0000), Na at (0.0000, 0.0000, 0.5000), Ge at (0.3333, 0.6667, 0.7453), I at (0.0178, 0.6809, 0.3135) and I at (0.3333, 0.6667, 0.9836).


2.
# Zn6Ga8Ag

A geometry-optimized Zn6Ga8Ag structure (GGA-PBE, Alexandria).

The calculation puts the total magnetization at 0.00 Bohr magnetons per cell. The energy relative to the elements comes out at 59 meV/atom. The offset from the most stable computed form is 18 meV/atom. The volume comes out at 18.45 Å³/atom.

The space group is P-31m (No. 162) and the conventional cell measures 7.4330, 7.4330 and 5.7846 Å, with angles of 90.00, 90.00 and 120.00 degrees. The asymmetric unit holds Zn at (0.0000, 0.3377, 0.1782), Ga at (0.0000, 0.3309, 0.6464), Ga at (0.3333, 0.6667, 0.0000) and Ag at (0.0000, 0.0000, 0.0000).


3.
# Te4IrRu2

A geometry-optimized Te4IrRu2 structure (GGA-PBE, Alexandria).

The calculation puts the total magnetization at 0.00 Bohr magnetons per cell. For the energy relative to the elements, uncorrected, the calculation gives 4.12 eV per formula unit. The volume comes out at 25.73 Å³/atom.

The space group is I4/mmm (No. 139) and the conventional cell measures 5.354, 5.354 and 12.569 Å, with angles of 90.00, 90.00 and 90.00 degrees. The asymmetric unit holds Te at (0.000, 0.000, 0.209), Te at (0.000, 0.500, 0.000), Ir at (0.000, 0.000, 0.000) and Ru at (0.000, 0.000, 0.406).


4.
# Tc2MoPt

A geometry-optimized Tc2MoPt structure (GGA-PBE, Alexandria).

The calculation puts the total magnetization at 0.00 Bohr magnetons per cell. The energy relative to the elements comes out at -96 meV/atom. The offset from the most stable computed form is 72 meV/atom. The volume comes out at 15.10 Å³/atom.

The space group is P4mm (No. 99) and the conventional cell measures 2.756, 2.756 and 7.956 Å, with angles of 90.00, 90.00 and 90.00 degrees. The asymmetric unit holds Tc at (0.000, 0.000, 0.000), Tc at (0.500, 0.500, 0.228), Mo at (0.000, 0.000, 0.483) and Pt at (0.500, 0.500, 0.739).


5.
# Sr3Al2Au7

A geometry-optimized Sr3Al2Au7 structure (GGA-PBE, Alexandria).

The calculation puts the total magnetization at 0.00 Bohr magnetons per cell. The energy relative to the elements comes out at -573 meV/atom. The volume comes out at 24.88 Å³/atom.

The space group is I4/mmm (No. 139) and the conventional cell measures 4.758, 4.758 and 26.379 Å, with angles of 90.00, 90.00 and 90.00 degrees. The asymmetric unit holds Sr at (0.000, 0.000, 0.000), Sr at (0.000, 0.000, 0.171), Al at (0.000, 0.000, 0.388), Au at (0.000, 0.000, 0.293), Au at (0.000, 0.000, 0.500) and Au at (0.000, 0.500, 0.079).


6.
# In2MoP

A geometry-optimized In2MoP structure (GGA-PBE, Alexandria).

The calculation puts the total magnetization at 0.92 Bohr magnetons per cell. The energy relative to the elements comes out at 523 meV/atom. The volume comes out at 19.10 Å³/atom.

The space group is P4/mmm (No. 123) and the conventional cell measures 4.673, 4.673 and 3.498 Å, with angles of 90.00, 90.00 and 90.00 degrees. The asymmetric unit holds In at (0.000, 0.500, 0.000), Mo at (0.000, 0.000, 0.500) and P at (0.500, 0.500, 0.500).


7.
# Sr4OsW

A geometry-optimized Sr4OsW structure (GGA-PBE, Alexandria).

The calculation puts the total magnetization at 18.15 Bohr magnetons per cell. The energy relative to the elements comes out at 1924 meV/atom. The volume comes out at 30.25 Å³/atom.

The space group is F-43m (No. 216) and the conventional cell measures 8.988, 8.988 and 8.988 Å, with angles of 90.00, 90.00 and 90.00 degrees. The asymmetric unit holds Sr at (0.124, 0.124, 0.376), Os at (0.250, 0.250, 0.750) and W at (0.000, 0.000, 0.000).


8.
# RbTcHg2Au

A geometry-optimized RbTcHg2Au structure (GGA-PBE, Alexandria).

The calculation puts the total magnetization at 5.00 Bohr magnetons per cell. The energy relative to the elements comes out at 1555 meV/atom. The volume comes out at 59.67 Å³/atom.

The space group is P4/mmm (No. 123) and the conventional cell measures 6.552, 6.552 and 6.950 Å, with angles of 90.00, 90.00 and 90.00 degrees. The asymmetric unit holds Rb at (0.000, 0.000, 0.000), Tc at (0.000, 0.000, 0.500), Hg at (0.000, 0.500, 0.000) and Au at (0.500, 0.500, 0.500).


9.
# Ta2Nb4Tc

A geometry-optimized Ta2Nb4Tc structure (GGA-PBE, Alexandria).

The calculation puts the total magnetization at 0.00 Bohr magnetons per cell. The energy relative to the elements comes out at 46 meV/atom. The volume comes out at 17.94 Å³/atom.

The space group is P-1 (No. 2) and the conventional cell measures 2.788, 7.234 and 7.271 Å, with angles of 117.87, 98.48 and 96.22 degrees. The asymmetric unit holds Ta at (0.243, 0.219, 0.140), Nb at (0.101, 0.358, 0.574), Nb at (0.469, 0.073, 0.717) and Tc at (0.500, 0.500, 0.000).


10.
# Pr4NdSm7

A geometry-optimized Pr4NdSm7 structure (GGA-PBE, Alexandria).

The calculation puts the total magnetization at 0.00 Bohr magnetons per cell. The energy relative to the elements comes out at 231 meV/atom. The offset from the most stable computed form is 220 meV/atom. The volume comes out at 35.79 Å³/atom.

The space group is C2/m (No. 12) and the conventional cell measures 12.243, 6.091 and 13.035 Å, with angles of 90.00, 117.90 and 90.00 degrees. The asymmetric unit holds Pr at (0.061, 0.000, 0.326), Pr at (0.140, 0.500, 0.777), Nd at (0.000, 0.500, 0.000), Sm at (0.000, 0.000, 0.000), Sm at (0.132, 0.500, 0.501), Sm at (0.211, 0.000, 0.922) and Sm at (0.245, 0.000, 0.679).


11.
# BaZr3F

A geometry-optimized BaZr3F structure (GGA-PBE, Alexandria).

The calculation puts the total magnetization at 0.95 Bohr magnetons per cell. For the energy relative to the elements, uncorrected, the calculation gives 8.59 eV per formula unit. The offset from the most stable computed form is 1858 meV/atom. The volume comes out at 31.14 Å³/atom.

The space group is Pm-3m (No. 221) and the conventional cell measures 5.380, 5.380 and 5.380 Å, with angles of 90.00, 90.00 and 90.00 degrees. The asymmetric unit holds Ba at (0.000, 0.000, 0.000), Zr at (0.000, 0.000, 0.500) and F at (0.500, 0.500, 0.500).


12.
# Ba5Li2Pd

A geometry-optimized Ba5Li2Pd structure (GGA-PBE, Alexandria).

The calculation puts the total magnetization at 0.00 Bohr magnetons per cell. The energy relative to the elements comes out at -111 meV/atom. The volume comes out at 47.27 Å³/atom.

The space group is C2/c (No. 15) and the conventional cell measures 20.492, 7.832 and 9.509 Å, with angles of 90.00, 97.60 and 90.00 degrees. The asymmetric unit holds Ba at (0.000, 0.110, 0.250), Ba at (0.100, 0.365, 0.930), Ba at (0.222, 0.086, 0.305), Li at (0.104, 0.184, 0.571) and Pd at (0.250, 0.250, 0.000).